Entry 1:
# PBE Ti2CrSe, relaxed
data_Ti2CrSe
_chemical_formula_sum 'Ti8 Cr4 Se4'
_space_group_name_H-M_alt 'I -4 2 d'
_space_group_IT_number 122
_space_group_name_Hall 'I -4 2bw'
_cell_length_a 7.054
_cell_length_b 7.054
_cell_length_c 5.463
_cell_angle_alpha 90.00
_cell_angle_beta 90.00
_cell_angle_gamma 90.00
loop_
_atom_site_label
_atom_site_fract_x
_atom_site_fract_y
_atom_site_fract_z
Ti1 0.235 0.750 0.125
Cr1 0.000 0.000 0.500
Se1 0.000 0.000 0.000
# ΔE_f (raw), eV/atom: 0.109
# Density, g cm⁻³: 5.54
# V, Å³/cell: 271.8
# Density of states at the Fermi level, states/eV/atom: 1.24
# Total energy, eV/atom: -7.115


Entry 2:
# PBE Ti2CrSe6, relaxed
data_Ti2CrSe6
_chemical_formula_sum 'Ti4 Cr2 Se12'
_space_group_name_H-M_alt 'C 1 2/m 1'
_space_group_IT_number 12
_space_group_name_Hall '-C 2y'
_cell_length_a 17.116
_cell_length_b 3.521
_cell_length_c 7.942
_cell_angle_alpha 90.00
_cell_angle_beta 114.58
_cell_angle_gamma 90.00
loop_
_atom_site_label
_atom_site_fract_x
_atom_site_fract_y
_atom_site_fract_z
Ti1 0.162 0.000 0.326
Cr1 0.000 0.500 0.000
Se1 0.003 0.000 0.229
Se2 0.160 0.500 0.092
Se3 0.173 0.500 0.570
# ΔE_f (raw), eV/atom: -0.902
# Density, g cm⁻³: 4.74
# V, Å³/cell: 435.3
# Density of states at the Fermi level, states/eV/atom: 0.19
# Total energy, eV/atom: -6.049


Entry 3:
# PBE Ti2Cr4Se, relaxed
data_Ti2Cr4Se
_chemical_formula_sum 'Ti4 Cr8 Se2'
_space_group_name_H-M_alt 'I 4/m m m'
_space_group_IT_number 139
_space_group_name_Hall '-I 4 2'
_cell_length_a 4.343
_cell_length_b 4.343
_cell_length_c 13.573
_cell_angle_alpha 90.00
_cell_angle_beta 90.00
_cell_angle_gamma 90.00
loop_
_atom_site_label
_atom_site_fract_x
_atom_site_fract_y
_atom_site_fract_z
Ti1 0.000 0.000 0.112
Cr1 0.000 0.000 0.315
Cr2 0.000 0.500 0.000
Se1 0.000 0.000 0.500
# ΔE_f (raw), eV/atom: 0.875
# Density, g cm⁻³: 4.96
# V, Å³/cell: 256.0
# Density of states at the Fermi level, states/eV/atom: 1.01
# Total energy, eV/atom: -7.378


Copy entry 2 word for word.
# PBE Ti2CrSe6, relaxed
data_Ti2CrSe6
_chemical_formula_sum 'Ti4 Cr2 Se12'
_space_group_name_H-M_alt 'C 1 2/m 1'
_space_group_IT_number 12
_space_group_name_Hall '-C 2y'
_cell_length_a 17.116
_cell_length_b 3.521
_cell_length_c 7.942
_cell_angle_alpha 90.00
_cell_angle_beta 114.58
_cell_angle_gamma 90.00
loop_
_atom_site_label
_atom_site_fract_x
_atom_site_fract_y
_atom_site_fract_z
Ti1 0.162 0.000 0.326
Cr1 0.000 0.500 0.000
Se1 0.003 0.000 0.229
Se2 0.160 0.500 0.092
Se3 0.173 0.500 0.570
# ΔE_f (raw), eV/atom: -0.902
# Density, g cm⁻³: 4.74
# V, Å³/cell: 435.3
# Density of states at the Fermi level, states/eV/atom: 0.19
# Total energy, eV/atom: -6.049